(1)
Below is crystalline K4HoBi3O12 at its relaxed geometry, with properties calculated at the PBE-GGA level.

Values from the calculation:
* DFT total energy: -106.6 eV/cell
* crystal system: cubic
* energy relative to the elements, uncorrected: -1.32 eV per atom
* symmetry: Im-3m (229)

Unit cell a=7.4572 b=7.4572 c=7.4572 alpha=109.47 beta=109.47 gamma=109.47
Last column: nearest neighbours and their distance in Å.
Positions (direct):
K 0.5000 0.5000 0.5000  12 O 3.04-3.05
K 0.0000 0.0000 0.5000  12 O 3.04-3.05
K 0.5000 0.0000 0.0000  12 O 3.04-3.05
K 0.0000 0.5000 0.0000  12 O 3.04-3.05
Ho 0.0000 0.0000 0.0000  6 O 2.23
Bi 0.5000 0.0000 0.5000  6 O 2.08-2.15
Bi 0.5000 0.5000 0.0000  6 O 2.08-2.15
Bi 0.0000 0.5000 0.5000  6 O 2.08-2.15
O 0.2500 0.5000 0.7500  2 Bi 2.15
O 0.7414 0.0000 0.7414  1 Bi 2.08, 1 Ho 2.23
O 0.2586 0.0000 0.2586  1 Bi 2.08, 1 Ho 2.23
O 0.7500 0.5000 0.2500  2 Bi 2.15
O 0.7414 0.7414 0.0000  1 Bi 2.08, 1 Ho 2.23
O 0.2586 0.2586 0.0000  1 Bi 2.08, 1 Ho 2.23
O 0.7500 0.2500 0.5000  2 Bi 2.15
O 0.2500 0.7500 0.5000  2 Bi 2.15
O 0.5000 0.2500 0.7500  2 Bi 2.15
O 0.0000 0.7414 0.7414  1 Bi 2.08, 1 Ho 2.23
O 0.5000 0.7500 0.2500  2 Bi 2.15
O 0.0000 0.2586 0.2586  1 Bi 2.08, 1 Ho 2.23

(2)
Below is crystalline BaPt4Br at its relaxed geometry, with properties calculated at the PBE-GGA level.

Values from the calculation:
* DFT total energy: -29.1 eV/cell
* crystal system: cubic
* energy relative to the elements, uncorrected: -0.22 eV per atom
* symmetry: F-43m (216)

Unit cell a=5.5987 b=5.5987 c=5.5987 alpha=60.00 beta=60.00 gamma=60.00
Last column: nearest neighbours and their distance in Å.
Positions (direct):
Ba 0.7500 0.7500 0.7500  12 Pt 3.28, 4 Br 3.43
Pt 0.8756 0.3748 0.3748  6 Pt 2.79-2.80
Pt 0.3748 0.3748 0.8756  6 Pt 2.79-2.80
Pt 0.3748 0.8756 0.3748  6 Pt 2.79-2.80
Pt 0.3748 0.3748 0.3748  6 Pt 2.79-2.80
Br 0.0000 0.0000 0.0000  12 Pt 3.28, 4 Ba 3.43

(3)
Below is crystalline ZnCuSi2O6 at its relaxed geometry, with properties calculated at the PBE-GGA level.

Values from the calculation:
* DFT total energy: -528.0 eV/cell
* crystal system: orthorhombic
* energy relative to the elements, uncorrected: -2.00 eV per atom
* ΔE to the lowest computed polymorph: 0.000 eV per atom
* symmetry: Pbca (61)

Unit cell a=5.3761 b=9.1037 c=18.6842 alpha=90.00 beta=90.00 gamma=90.00
Last column: nearest neighbours and their distance in Å.
Positions (direct):
Zn 0.4230 0.8554 0.3742  4 O 2.02-2.12
Zn 0.5770 0.1446 0.6258  4 O 2.02-2.12
Zn 0.4230 0.3554 0.1258  4 O 2.02-2.12
Zn 0.9230 0.1446 0.1258  4 O 2.02-2.12
Zn 0.0770 0.8554 0.8742  4 O 2.02-2.12
Zn 0.5770 0.6446 0.8742  4 O 2.02-2.12
Zn 0.9230 0.6446 0.3742  4 O 2.02-2.12
Zn 0.0770 0.3554 0.6258  4 O 2.02-2.12
Cu 0.5807 0.0003 0.8749  3 O 1.91-2.06
Cu 0.4193 0.9997 0.1251  3 O 1.91-2.06
Cu 0.0807 0.9997 0.6251  3 O 1.91-2.06
Cu 0.9193 0.0003 0.3749  3 O 1.91-2.06
Cu 0.5807 0.5003 0.6251  3 O 1.91-2.06
Cu 0.4193 0.4997 0.3749  3 O 1.91-2.06
Cu 0.0807 0.4997 0.8749  3 O 1.91-2.06
Cu 0.9193 0.5003 0.1251  3 O 1.91-2.06
Si 0.3815 0.3365 0.7739  4 O 1.63-1.66
Si 0.2615 0.1624 0.4763  4 O 1.63-1.65
Si 0.2385 0.1624 0.9763  4 O 1.63-1.65
Si 0.1185 0.8365 0.2261  4 O 1.63-1.66
Si 0.8815 0.6635 0.7261  4 O 1.63-1.66
Si 0.6185 0.1635 0.2739  4 O 1.63-1.66
Si 0.7615 0.3376 0.4763  4 O 1.63-1.65
Si 0.2615 0.6624 0.0237  4 O 1.63-1.65
Si 0.2385 0.6624 0.5237  4 O 1.63-1.65
Si 0.1185 0.3365 0.2739  4 O 1.63-1.66
Si 0.6185 0.6635 0.2261  4 O 1.63-1.66
Si 0.3815 0.8365 0.7261  4 O 1.63-1.66
Si 0.7385 0.8376 0.5237  4 O 1.63-1.65
Si 0.8815 0.1635 0.7739  4 O 1.63-1.66
Si 0.7385 0.3376 0.9763  4 O 1.63-1.65
Si 0.7615 0.8376 0.0237  4 O 1.63-1.65
O 0.1342 0.4971 0.3126  1 Si 1.63
O 0.7105 0.9914 0.0663  1 Si 1.63
O 0.8658 0.5029 0.6874  1 Si 1.63
O 0.2644 0.6537 0.9356  1 Si 1.65
O 0.7644 0.8463 0.9356  1 Si 1.65
O 0.0358 0.7745 0.0482  2 Si 1.65
O 0.1130 0.3371 0.1864  1 Si 1.64
O 0.8870 0.1629 0.6864  1 Si 1.64
O 0.2644 0.1537 0.5644  1 Si 1.65
O 0.1130 0.8371 0.3136  1 Si 1.64
O 0.6342 0.5029 0.1874  1 Si 1.63
O 0.2356 0.6537 0.4356  1 Si 1.65
O 0.2895 0.0086 0.9337  1 Si 1.63
O 0.6130 0.1629 0.1864  1 Si 1.64
O 0.3658 0.9971 0.6874  1 Si 1.63
O 0.7105 0.4914 0.4337  1 Si 1.63
O 0.6342 0.0029 0.3126  1 Si 1.63
O 0.8750 0.2444 0.3031  2 Si 1.65-1.66
O 0.6250 0.2444 0.8031  2 Si 1.65-1.66
O 0.4642 0.2745 0.9518  2 Si 1.65
O 0.2356 0.1537 0.0644  1 Si 1.65
O 0.3870 0.3371 0.6864  1 Si 1.64
O 0.2105 0.5086 0.0663  1 Si 1.63
O 0.8750 0.7444 0.1969  2 Si 1.65-1.66
O 0.7356 0.8463 0.4356  1 Si 1.65
O 0.3870 0.8371 0.8136  1 Si 1.64
O 0.2895 0.5086 0.5663  1 Si 1.63
O 0.7644 0.3463 0.5644  1 Si 1.65
O 0.7895 0.4914 0.9337  1 Si 1.63
O 0.3750 0.2556 0.3031  2 Si 1.65-1.66
O 0.8658 0.0029 0.8126  1 Si 1.63
O 0.1250 0.2556 0.8031  2 Si 1.65-1.66
O 0.1250 0.7556 0.6969  2 Si 1.65-1.66
O 0.2105 0.0086 0.4337  1 Si 1.63
O 0.7356 0.3463 0.0644  1 Si 1.65
O 0.7895 0.9914 0.5663  1 Si 1.63
O 0.6250 0.7444 0.6969  2 Si 1.65-1.66
O 0.9642 0.2255 0.9518  2 Si 1.65
O 0.5358 0.2255 0.4518  2 Si 1.65
O 0.3750 0.7556 0.1969  2 Si 1.65-1.66
O 0.5358 0.7255 0.0482  2 Si 1.65
O 0.4642 0.7745 0.5482  2 Si 1.65
O 0.9642 0.7255 0.5482  2 Si 1.65
O 0.6130 0.6629 0.3136  1 Si 1.64
O 0.3658 0.4971 0.8126  1 Si 1.63
O 0.0358 0.2745 0.4518  2 Si 1.65
O 0.8870 0.6629 0.8136  1 Si 1.64
O 0.1342 0.9971 0.1874  1 Si 1.63

(4)
Below is crystalline MnCo4Rh at its relaxed geometry, with properties calculated at the PBE-GGA level.

Values from the calculation:
* DFT total energy: -44.7 eV/cell
* calculated formation energy: 47 meV per atom
* crystal system: cubic
* symmetry: F-43m (216)

Unit cell a=4.6950 b=4.6950 c=4.6950 alpha=60.00 beta=60.00 gamma=60.00
Last column: nearest neighbours and their distance in Å.
Positions (direct):
Mn 0.7500 0.7500 0.7500  12 Co 2.75, 4 Rh 2.88
Co 0.8731 0.3756 0.3756  6 Co 2.34-2.36
Co 0.3756 0.3756 0.8731  6 Co 2.34-2.36
Co 0.3756 0.8731 0.3756  6 Co 2.34-2.36
Co 0.3756 0.3756 0.3756  6 Co 2.34-2.36
Rh 0.0000 0.0000 0.0000  12 Co 2.75, 4 Mn 2.88

(5)
Below is crystalline La2PrAg6 at its relaxed geometry, with properties calculated at the PBE-GGA level.

Values from the calculation:
* DFT total energy: -34.2 eV/cell
* calculated formation energy: -275 meV per atom
* crystal system: hexagonal
* symmetry: P6/mmm (191)

Unit cell a=3.6857 b=8.3755 c=8.3755 alpha=120.00 beta=90.00 gamma=90.00
Last column: nearest neighbours and their distance in Å.
Positions (direct):
La 0.0000 0.3333 0.6667  12 Ag 3.35, 2 La 3.69
La 0.0000 0.6667 0.3333  12 Ag 3.35, 2 La 3.69
Pr 0.0000 0.0000 0.0000  12 Ag 3.34, 2 Pr 3.69
Ag 0.5000 0.3327 0.3327  3 Ag 2.79-2.80
Ag 0.5000 0.6673 0.6673  3 Ag 2.79-2.80
Ag 0.5000 0.0000 0.6673  3 Ag 2.79-2.80
Ag 0.5000 0.6673 0.0000  3 Ag 2.79-2.80
Ag 0.5000 0.3327 0.0000  3 Ag 2.79-2.80
Ag 0.5000 0.0000 0.3327  3 Ag 2.79-2.80

(6)
Below is crystalline Cu2Sb2Pd7 at its relaxed geometry, with properties calculated at the PBE-GGA level.

Values from the calculation:
* DFT total energy: -52.7 eV/cell
* crystal system: monoclinic
* energy relative to the elements, uncorrected: 0.00 eV per atom
* symmetry: C2/m (12)

Unit cell a=6.9184 b=5.4064 c=5.4064 alpha=92.90 beta=92.08 gamma=92.08
Last column: nearest neighbours and their distance in Å.
Positions (direct):
Cu 0.4930 0.3344 0.3344  1 Cu 2.46, 7 Pd 2.48-2.59
Cu 0.5070 0.6656 0.6656  1 Cu 2.46, 7 Pd 2.48-2.59
Sb 0.0000 0.1938 0.8062  6 Pd 2.70-2.73
Sb 0.0000 0.8062 0.1938  6 Pd 2.70-2.73
Pd 0.7234 0.0002 0.4803  2 Cu 2.57-2.59, 2 Sb 2.70-2.71, 2 Pd 2.77-2.78
Pd 0.2766 0.5197 0.9998  2 Cu 2.57-2.59, 2 Sb 2.70-2.71, 2 Pd 2.77-2.78
Pd 0.2766 0.9998 0.5197  2 Cu 2.57-2.59, 2 Sb 2.70-2.71, 2 Pd 2.77-2.78
Pd 0.7234 0.4803 0.0002  2 Cu 2.57-2.59, 2 Sb 2.70-2.71, 2 Pd 2.77-2.78
Pd 0.5000 0.0000 0.0000  2 Cu 2.49
Pd 0.1888 0.4950 0.4950  2 Cu 2.48, 3 Pd 2.62-2.77, 2 Sb 2.73
Pd 0.8112 0.5050 0.5050  2 Cu 2.48, 3 Pd 2.62-2.77, 2 Sb 2.73

(7)
Below is crystalline Bi4Se5S at its relaxed geometry, with properties calculated at the PBE-GGA level.

Values from the calculation:
* DFT total energy: -40.2 eV/cell
* crystal system: monoclinic
* energy relative to the elements, uncorrected: -0.31 eV per atom
* symmetry: C2/m (12)

Unit cell a=4.1868 b=8.3474 c=9.4447 alpha=102.07 beta=102.81 gamma=90.00
Last column: nearest neighbours and their distance in Å.
Positions (direct):
Bi 0.3263 0.9155 0.6527  5 Se 2.82-2.97, 1 S 3.12
Bi 0.9890 0.7408 0.9780  3 Se 2.69-2.94, 2 S 2.99
Bi 0.6737 0.0845 0.3473  5 Se 2.82-2.97, 1 S 3.12
Bi 0.0110 0.2592 0.0220  3 Se 2.69-2.94, 2 S 2.99
Se 0.8393 0.6701 0.6786  3 Bi 2.69-2.97
Se 0.8303 0.1685 0.6605  3 Bi 2.82-2.96
Se 0.1697 0.8315 0.3395  3 Bi 2.82-2.96
Se 0.5000 0.5000 0.0000  4 Bi 2.94
Se 0.1607 0.3299 0.3214  3 Bi 2.69-2.97
S 0.5000 0.0000 0.0000  6 Bi 2.99-3.12

(8)
Below is crystalline ZnOsPb2 at its relaxed geometry, with properties calculated at the PBE-GGA level.

Values from the calculation:
* DFT total energy: -16.8 eV/cell
* calculated formation energy: 771 meV per atom
* crystal system: tetragonal
* symmetry: I4/mmm (139)

Unit cell a=5.1070 b=5.1070 c=5.1070 alpha=126.42 beta=126.42 gamma=79.19
Last column: nearest neighbours and their distance in Å.
Positions (direct):
Os 0.7500 0.2500 0.5000  8 Pb 3.03, 4 Zn 3.26
Pb 0.0000 0.0000 0.0000  4 Os 3.03, 4 Zn 3.03, 4 Pb 3.26
Pb 0.5000 0.5000 0.0000  4 Zn 3.03, 4 Os 3.03, 4 Pb 3.26
Zn 0.2500 0.7500 0.5000  8 Pb 3.03, 4 Os 3.26

(9)
Below is crystalline TbGdThHg at its relaxed geometry, with properties calculated at the PBE-GGA level.

Values from the calculation:
* DFT total energy: -26.2 eV/cell
* calculated formation energy: 51 meV per atom
* crystal system: cubic
* symmetry: F-43m (216)

Unit cell a=5.4667 b=5.4667 c=5.4667 alpha=60.00 beta=60.00 gamma=60.00
Last column: nearest neighbours and their distance in Å.
Positions (direct):
Gd 0.5000 0.5000 0.5000  4 Hg 3.35, 4 Th 3.35
Tb 0.0000 0.0000 0.0000  4 Th 3.35, 4 Hg 3.35
Hg 0.2500 0.2500 0.2500  4 Tb 3.35, 4 Gd 3.35
Th 0.7500 0.7500 0.7500  4 Gd 3.35, 4 Tb 3.35

(10)
Below is crystalline Zr3Be3Ir at its relaxed geometry, with properties calculated at the PBE-GGA level.

Values from the calculation:
* DFT total energy: -96.4 eV/cell
* calculated formation energy: -359 meV per atom
* crystal system: monoclinic
* symmetry: C2/m (12)

Unit cell a=3.8100 b=5.2653 c=11.9570 alpha=85.10 beta=80.83 gamma=68.79
Last column: nearest neighbours and their distance in Å.
Positions (direct):
Zr 0.5153 0.3395 0.6300  6 Be 2.69-2.81, 4 Ir 2.83-2.97
Zr 0.4847 0.6605 0.3700  6 Be 2.69-2.81, 4 Ir 2.83-2.97
Zr 0.2573 0.2633 0.2221  6 Be 2.68-2.94
Zr 0.7427 0.7367 0.7779  6 Be 2.68-2.94
Zr 0.3906 0.2910 0.9278  7 Be 2.71-2.91
Zr 0.6094 0.7090 0.0722  7 Be 2.71-2.91
Be 0.8747 0.7077 0.5428  3 Ir 2.27-2.37, 1 Be 2.30
Be 0.1253 0.2923 0.4572  3 Ir 2.27-2.37, 1 Be 2.30
Be 0.0958 0.8848 0.9235  2 Be 2.16
Be 0.9042 0.1152 0.0765  2 Be 2.16
Be 0.9546 0.8612 0.2296  1 Be 2.16, 1 Ir 2.37
Be 0.0454 0.1388 0.7704  1 Be 2.16, 1 Ir 2.37
Ir 0.7593 0.0737 0.4076  4 Be 2.27-2.37
Ir 0.2407 0.9263 0.5924  4 Be 2.27-2.37

(11)
Below is crystalline Hf5BeOs4 at its relaxed geometry, with properties calculated at the PBE-GGA level.

Values from the calculation:
* DFT total energy: -104.3 eV/cell
* calculated formation energy: -593 meV per atom
* crystal system: tetragonal
* symmetry: P4/mmm (123)

Unit cell a=3.2438 b=3.2438 c=16.1021 alpha=90.00 beta=90.00 gamma=90.00
Last column: nearest neighbours and their distance in Å.
Positions (direct):
Hf 0.5000 0.5000 0.0946  4 Be 2.75, 4 Os 2.79, 1 Hf 3.05
Hf 0.5000 0.5000 0.2969  8 Os 2.81-2.83
Hf 0.5000 0.5000 0.5000  8 Os 2.82
Hf 0.5000 0.5000 0.7031  8 Os 2.81-2.83
Hf 0.5000 0.5000 0.9054  4 Be 2.75, 4 Os 2.79, 1 Hf 3.05
Be 0.0000 0.0000 0.0000  8 Hf 2.75
Os 0.0000 0.0000 0.1937  8 Hf 2.79-2.83, 1 Be 3.12
Os 0.0000 0.0000 0.3980  8 Hf 2.81-2.82
Os 0.0000 0.0000 0.6020  8 Hf 2.81-2.82
Os 0.0000 0.0000 0.8063  8 Hf 2.79-2.83, 1 Be 3.12

(12)
Below is crystalline Dy3Er2Th4 at its relaxed geometry, with properties calculated at the PBE-GGA level.

Values from the calculation:
* DFT total energy: -52.3 eV/cell
* calculated formation energy: 34 meV per atom
* crystal system: monoclinic
* symmetry: C2/m (12)

Unit cell a=5.0301 b=7.9032 c=14.5500 alpha=144.00 beta=90.00 gamma=108.56
Last column: nearest neighbours and their distance in Å.
Positions (direct):
Dy 0.5557 0.1113 0.6702  6 Th 3.45-3.57, 2 Dy 3.58-3.63, 4 Er 3.58-3.61
Dy 0.0000 0.0000 0.0000  6 Th 3.55-3.56, 4 Er 3.57, 2 Dy 3.58
Dy 0.4443 0.8887 0.3298  6 Th 3.45-3.57, 2 Dy 3.58-3.63, 4 Er 3.58-3.61
Er 0.7747 0.5495 0.3335  5 Th 3.49-3.61, 6 Dy 3.57-3.61, 1 Er 3.64
Er 0.2253 0.4505 0.6665  5 Th 3.49-3.61, 6 Dy 3.57-3.61, 1 Er 3.64
Th 0.6649 0.3298 0.9960  5 Dy 3.45-3.57, 5 Th 3.51-3.57, 2 Er 3.53-3.61
Th 0.3351 0.6702 0.0040  5 Dy 3.45-3.57, 5 Th 3.51-3.57, 2 Er 3.53-3.61
Th 0.8897 0.7794 0.6664  3 Er 3.49-3.52, 4 Dy 3.50-3.57, 5 Th 3.55-3.57
Th 0.1103 0.2206 0.3336  3 Er 3.49-3.52, 4 Dy 3.50-3.57, 5 Th 3.55-3.57

(13)
Below is crystalline CaTmSiPd at its relaxed geometry, with properties calculated at the PBE-GGA level.

Values from the calculation:
* DFT total energy: -19.6 eV/cell
* crystal system: cubic
* energy relative to the elements, uncorrected: -0.63 eV per atom
* symmetry: F-43m (216)

Unit cell a=4.9444 b=4.9444 c=4.9444 alpha=60.00 beta=60.00 gamma=60.00
Last column: nearest neighbours and their distance in Å.
Positions (direct):
Ca 0.7500 0.7500 0.7500  4 Pd 3.03, 4 Si 3.03
Tm 0.2500 0.2500 0.2500  4 Si 3.03, 4 Pd 3.03
Si 0.5000 0.5000 0.5000  4 Ca 3.03, 4 Tm 3.03
Pd 0.0000 0.0000 0.0000  4 Ca 3.03, 4 Tm 3.03

(14)
Below is crystalline Hf2BeCo3 at its relaxed geometry, with properties calculated at the PBE-GGA level.

Values from the calculation:
* DFT total energy: -94.9 eV/cell
* calculated formation energy: -413 meV per atom
* crystal system: hexagonal
* ΔE to the lowest computed polymorph: 0.000 eV per atom
* symmetry: P6_3/mmc (194)

Unit cell a=4.9686 b=4.9686 c=7.3568 alpha=90.00 beta=90.00 gamma=120.00
Last column: nearest neighbours and their distance in Å.
Positions (direct):
Hf 0.6667 0.3333 0.4443  9 Co 2.68-2.87, 4 Hf 2.86-2.98, 3 Be 2.90
Hf 0.3333 0.6667 0.5557  9 Co 2.68-2.87, 4 Hf 2.86-2.98, 3 Be 2.90
Hf 0.3333 0.6667 0.9443  9 Co 2.68-2.87, 4 Hf 2.86-2.98, 3 Be 2.90
Hf 0.6667 0.3333 0.0557  9 Co 2.68-2.87, 4 Hf 2.86-2.98, 3 Be 2.90
Be 0.0000 0.0000 0.5000  6 Co 2.32
Be 0.0000 0.0000 0.0000  6 Co 2.32
Co 0.1644 0.3288 0.2500  2 Be 2.32, 4 Co 2.45-2.52
Co 0.3288 0.1644 0.7500  2 Be 2.32, 4 Co 2.45-2.52
Co 0.8356 0.6712 0.7500  2 Be 2.32, 4 Co 2.45-2.52
Co 0.1644 0.8356 0.2500  2 Be 2.32, 4 Co 2.45-2.52
Co 0.8356 0.1644 0.7500  2 Be 2.32, 4 Co 2.45-2.52
Co 0.6712 0.8356 0.2500  2 Be 2.32, 4 Co 2.45-2.52

| no. | theoretical density (g/cm³) |
| --- | --- |
| 1 | 5.93 |
| 2 | 13.35 |
| 3 | 4.08 |
| 4 | 8.93 |
| 5 | 7.90 |
| 6 | 9.18 |
| 7 | 6.67 |
| 8 | 13.34 |
| 9 | 10.76 |
| 10 | 7.42 |
| 11 | 16.29 |
| 12 | 10.17 |
| 13 | 6.67 |
| 14 | 11.46 |